A relaxed structure of LiAlTlIn, computed with PBE-GGA.

abc: 4.992 4.992 4.992
angles: 60.00 60.00 60.00
Element x y z (fractional)
Tl: 0.250 0.250 0.250
Li: 0.000 0.000 0.000
Al: 0.500 0.500 0.500
In: 0.750 0.750 0.750

Calculated formation energy, eV per atom: -0.01